A relaxed structure of HfCr2GaO6, computed with PBE with a Hubbard U.

Its total energy is -80.48 eV/f.u. The value obtained for the volume is 113 Å³/cell. The value obtained for the total magnetization is 7.0 μB/cell.

The space group is P1 (No. 1) and the conventional cell measures 5.128, 5.283 and 5.506 Å, with angles of 116.05, 90.37 and 118.85 degrees. The inequivalent atoms are Hf at (0.000, 0.000, 0.000), Cr at (0.285, 0.564, 0.863), Cr at (0.793, 0.581, 0.390), Ga at (0.494, 0.002, 0.493), O at (0.094, 0.778, 0.184), O at (0.198, 0.791, 0.671), O at (0.391, 0.453, 0.164), O at (0.597, 0.463, 0.674), O at (0.721, 0.118, 0.214) and O at (0.842, 0.028, 0.661).